Record 1
{
  "formula": "SiIrOs",
  "functional": "SCAN",
  "state": "PBEsol geometry",
  "lattice_angstrom": [[2.860, 0.000, 0.000], [0.000, 2.860, 0.000], [-1.430, -1.430, 4.857]],
  "species": ["Si", "Os", "Ir"],
  "fractional_positions": [[0.331, 0.331, 0.661], [0.687, 0.687, 0.374], [0.982, 0.982, 0.965]],
  "space_group": "No. 107",
  "total_magnetization_mub_per_cell": 0.000,
  "e_form_raw_ev_per_atom": -0.2070,
  "polymorph_energy_ev_per_fu": 0.000
}

***

Record 2
{
  "formula": "ScRe2Hg",
  "functional": "SCAN",
  "state": "PBEsol geometry",
  "lattice_angstrom": [[-0.719, -1.215, -2.484], [-2.114, -1.920, -0.092], [-7.231, 5.951, -2.462]],
  "species": ["Re", "Re", "Sc", "Hg"],
  "fractional_positions": [[0.752, 0.752, 0.744], [0.248, 0.248, 0.256], [0.500, 0.500, 0.500], [0.000, 0.000, 0.000]],
  "space_group": "No. 166",
  "total_magnetization_mub_per_cell": 0.000,
  "formation_energy_ev_per_fu": 2.36
}

***

Record 3
{
  "formula": "TaAgSe2",
  "functional": "SCAN",
  "state": "PBEsol geometry",
  "lattice_angstrom": [[3.345, 0.000, 0.000], [0.000, 3.479, -0.002], [-1.673, -0.089, 6.883]],
  "species": ["Ta", "Ag", "Se", "Se"],
  "fractional_positions": [[0.445, 0.382, 0.890], [0.217, 0.861, 0.434], [0.807, 0.369, 0.614], [0.031, 0.888, 0.061]],
  "space_group": "No. 8",
  "total_magnetization_mub_per_cell": 0.000,
  "e_form_raw_ev_per_atom": -0.2230
}

***

Record 4
{
  "formula": "SrTiNiOs2",
  "functional": "SCAN",
  "state": "PBEsol geometry",
  "lattice_angstrom": [[-0.206, -4.138, -1.772], [1.167, -1.762, 3.980], [-5.033, -0.320, 1.334]],
  "species": ["Ni", "Os", "Os", "Sr", "Ti"],
  "fractional_positions": [[0.500, 0.500, 0.500], [0.000, 0.500, 0.000], [0.500, 0.000, 0.000], [0.000, 0.000, 0.500], [0.000, 0.000, 0.000]],
  "space_group": "No. 123",
  "total_magnetization_mub_per_cell": 1.463,
  "formation_energy_ev_per_fu": 8.50
}

***

Record 5
{
  "formula": "RbMnPt2Br",
  "functional": "SCAN",
  "state": "PBEsol geometry",
  "lattice_angstrom": [[-3.413, -1.726, 2.826], [-1.343, -2.989, -3.447], [3.297, -3.563, 1.805]],
  "species": ["Pt", "Pt", "Rb", "Br", "Mn"],
  "fractional_positions": [[0.500, 0.000, 0.000], [0.000, 0.500, 0.000], [0.500, 0.500, 0.500], [0.000, 0.000, 0.500], [0.000, 0.000, 0.000]],
  "space_group": "No. 123",
  "total_magnetization_mub_per_cell": 4.114,
  "e_form_raw_ev_per_atom": 0.0744
}

***

Record 6
{
  "formula": "LiIn2Ag",
  "functional": "SCAN",
  "state": "PBEsol geometry",
  "lattice_angstrom": [[-2.635, -1.625, -0.026], [1.222, -2.014, 2.009], [-2.841, 4.504, 6.243]],
  "species": ["In", "In", "Ag", "Li"],
  "fractional_positions": [[0.000, 0.000, 0.253], [0.000, 0.000, 0.747], [0.500, 0.500, 0.500], [0.500, 0.500, 0.000]],
  "space_group": "No. 123",
  "total_magnetization_mub_per_cell": 0.000,
  "formation_energy_ev_per_fu": -0.73
}

***

These records have total energy values of -51.21 -55.56 -34.75 -37.95 -39.69 -25.31 eV/atom, in the order they appear.